The following is a DFT calculation (PBE+U) of a relaxed VNiF2 crystal. Values from VASP.

Quantum ESPRESSO input file:
```
&SYSTEM
  ibrav = 0, nat = 4, ntyp = 3
/
ATOMIC_SPECIES
Ni 58.69 Ni.upf
V 50.94 V.upf
F 19.00 F.upf
CELL_PARAMETERS angstrom
0.000 2.903 2.903
2.903 0.000 2.903
2.903 2.903 0.000
ATOMIC_POSITIONS crystal
Ni 0.500 0.500 0.500
V 0.000 0.000 0.000
F 0.250 0.250 0.250
F 0.750 0.750 0.750
```

Results
Its space group is No. 225. The total energy is -3.759 eV per atom. The value obtained for the density of states at the Fermi level is 2.02 states/eV/atom. Its energy above the most stable polymorph in this dataset is 3.20 eV per formula unit.